Here is a relaxed structure of CaCeNiPd from Alexandria. Energies are from PBE.

Computed properties:
ΔH_f (0 K) = -369 meV per atom
N(E_F) = 7.65 states/eV/f.u.
spin magnetization = 0.78 μB per formula unit
electronic total energy = -5.0965 eV per atom

Cell lengths 4.9482, 4.9482, 4.9482 Å; angles 60.00, 60.00, 60.00 degrees
Closest atoms and distances in Å follow each position.
Positions (direct):
Ni 0.2500 0.2500 0.2500  4 Ca 3.03, 4 Ce 3.03
Ca 0.5000 0.5000 0.5000  4 Pd 3.03, 4 Ni 3.03
Pd 0.7500 0.7500 0.7500  4 Ce 3.03, 4 Ca 3.03
Ce 0.0000 0.0000 0.0000  4 Ni 3.03, 4 Pd 3.03